Record 1
## FeCuSiPt (PBE-GGA)

Data for a relaxed structure of FeCuSiPt.

Cell: 5.836 5.836 5.836 Å, 90.00 90.00 90.00°
Fractional coordinates of all 16 atoms:
Fe1 0.000 0.000 0.000
Fe2 0.000 0.500 0.500
Fe3 0.500 0.000 0.500
Fe4 0.500 0.500 0.000
Cu1 0.250 0.250 0.750
Cu2 0.250 0.750 0.250
Cu3 0.750 0.250 0.250
Cu4 0.750 0.750 0.750
Si1 0.250 0.250 0.250
Si2 0.250 0.750 0.750
Si3 0.750 0.250 0.750
Si4 0.750 0.750 0.250
Pt1 0.000 0.000 0.500
Pt2 0.000 0.500 0.000
Pt3 0.500 0.000 0.000
Pt4 0.500 0.500 0.500

Computed properties:
D(E_F) = 0.7154 states/eV per atom
SG = F-43m (216)
Magnetic moment = 1.584 μB/cell
Energy = -6.221 eV/atom
Formation energy without anion corrections = -0.216 eV per atom

---

Record 2
## TaFeCuPt (PBE-GGA)

Data for a relaxed structure of TaFeCuPt.

Cell: 6.088 6.088 6.088 Å, 90.00 90.00 90.00°
Fractional coordinates of all 16 atoms:
Ta1 0.000 0.000 0.000
Ta2 0.000 0.500 0.500
Ta3 0.500 0.000 0.500
Ta4 0.500 0.500 0.000
Fe1 0.250 0.250 0.750
Fe2 0.250 0.750 0.250
Fe3 0.750 0.250 0.250
Fe4 0.750 0.750 0.750
Cu1 0.000 0.000 0.500
Cu2 0.000 0.500 0.000
Cu3 0.500 0.000 0.000
Cu4 0.500 0.500 0.500
Pt1 0.250 0.250 0.250
Pt2 0.250 0.750 0.750
Pt3 0.750 0.250 0.750
Pt4 0.750 0.750 0.250

Computed properties:
D(E_F) = 0.1986 states/eV per atom
SG = F-43m (216)
Energy relative to the elements = -0.196 eV per atom
Magnetic moment = 0.003 μB/cell
Energy = -7.809 eV/atom

---

Record 3
## TaFeCuPt2 (PBE-GGA)

Data for a relaxed structure of TaFeCuPt2.

Cell: 4.888 4.888 4.460 Å, 90.00 90.00 90.00°
Fractional coordinates of all 5 atoms:
Ta1 0.000 0.000 0.000
Fe1 0.000 0.000 0.500
Cu1 0.500 0.500 0.500
Pt1 0.000 0.500 0.000
Pt2 0.500 0.000 0.000

Computed properties:
D(E_F) = 0.6307 states/eV per atom
SG = P4/mmm (123)
Energy relative to the elements = 1.211 eV per atom
Magnetic moment = 1.567 μB/cell
Energy = -6.087 eV/atom